(1)
The following is a DFT calculation (PBE) of a relaxed YEr3Rh crystal.

Summary:
- Formation energy: -1.2 eV per formula unit
- Crystal system: cubic
- Relative energy among the computed polymorphs: 31 kJ/mol of formula units

Cell lengths 5.3588, 5.3588, 5.3588 Å; angles 90.00, 90.00, 90.00 degrees
Space group Pm-3m (No. 221)
Inequivalent atoms, fractional coordinates:
Y: 0.0000 0.0000 0.0000 [1 per cell]
Er: 0.0000 0.5000 0.5000 [3 per cell]
Rh: 0.5000 0.5000 0.5000 [1 per cell]

=====

(2)
The following is a DFT calculation (PBE) of a relaxed GePAuN crystal.

Summary:
- Crystal system: monoclinic
- Energy relative to the elements, uncorrected: 0.11 eV per atom
- Relative energy among the computed polymorphs: 9 kJ/mol of formula units

Cell lengths 8.5867, 3.1184, 6.5328 Å; angles 90.00, 117.10, 90.00 degrees
Space group Cm (No. 8)
Inequivalent atoms, fractional coordinates:
Ge: 0.0000 0.0000 0.0000 [2 per cell]
P: 0.3139 0.0000 0.2612 [2 per cell]
Au: 0.4139 0.5000 0.5820 [2 per cell]
N: 0.4240 0.0000 0.1071 [2 per cell]

=====

(3)
The following is a DFT calculation (PBE) of a relaxed Ca2AgF6 crystal.

Summary:
- Crystal system: tetragonal
- Energy relative to the elements, uncorrected: -2.94 eV per atom
- Relative energy among the computed polymorphs: 3 kJ/mol of formula units

Cell lengths 5.1318, 5.1318, 11.0094 Å; angles 90.00, 90.00, 90.00 degrees
Space group P4_2/mnm (No. 136)
Inequivalent atoms, fractional coordinates:
Ca: 0.0000 0.0000 0.1679 [4 per cell]
Ag: 0.0000 0.0000 0.5000 [2 per cell]
F: 0.1927 0.1927 0.3295 [8 per cell]
F: 0.2041 0.2041 0.0000 [4 per cell]

=====

(4)
The following is a DFT calculation (PBE) of a relaxed Be2TlSF crystal.

Summary:
- Crystal system: tetragonal
- Energy relative to the elements, uncorrected: 0.15 eV per atom
- Relative energy among the computed polymorphs: 126 kJ/mol of formula units

Cell lengths 3.8029, 3.8029, 6.0216 Å; angles 90.00, 90.00, 90.00 degrees
Space group P4/mmm (No. 123)
Inequivalent atoms, fractional coordinates:
Be: 0.0000 0.5000 0.0000 [2 per cell]
Tl: 0.0000 0.0000 0.5000 [1 per cell]
S: 0.5000 0.5000 0.5000 [1 per cell]
F: 0.5000 0.5000 0.0000 [1 per cell]

=====

(5)
The following is a DFT calculation (PBE) of a relaxed KCaBi4 crystal.

Summary:
- Formation energy: -1.4 eV per formula unit
- Crystal system: cubic

Cell lengths 9.5056, 9.5056, 9.5056 Å; angles 90.00, 90.00, 90.00 degrees
Space group F-43m (No. 216)
Inequivalent atoms, fractional coordinates:
K: 0.0000 0.0000 0.0000 [4 per cell]
Ca: 0.2500 0.2500 0.7500 [4 per cell]
Bi: 0.1249 0.1249 0.3751 [16 per cell]

=====

(6)
The following is a DFT calculation (PBE) of a relaxed PrTm8Sc4 crystal.

Summary:
- Formation energy: 3.2 eV per formula unit
- Crystal system: trigonal

Cell lengths 7.0624, 7.0624, 26.1588 Å; angles 90.00, 90.00, 120.00 degrees
Space group R-3m (No. 166, hexagonal axes)
Inequivalent atoms, fractional coordinates:
Pr: 0.0000 0.0000 0.0000 [3 per cell]
Tm: 0.0000 0.0000 0.2804 [6 per cell]
Tm: 0.0346 0.5173 0.2645 [18 per cell]
Sc: 0.0000 0.0000 0.5000 [3 per cell]
Sc: 0.0000 0.5000 0.5000 [9 per cell]

=====

(7)
The following is a DFT calculation (PBE) of a relaxed SmDy2Ag6 crystal.

Summary:
- Formation energy: -2.1 eV per formula unit
- Crystal system: monoclinic

Cell lengths 5.3284, 16.2423, 5.3549 Å; angles 90.00, 119.79, 90.00 degrees
Space group C2/m (No. 12)
Inequivalent atoms, fractional coordinates:
Sm: 0.0000 0.0000 0.0000 [2 per cell]
Dy: 0.0000 0.1655 0.5000 [4 per cell]
Ag: 0.1633 0.3323 0.8344 [8 per cell]
Ag: 0.1634 0.5000 0.3243 [4 per cell]

=====

(8)
The following is a DFT calculation (PBE) of a relaxed SmHo2Er3Bi6 crystal.

Summary:
- Formation energy: -10.1 eV per formula unit
- Crystal system: monoclinic

Cell lengths 19.4781, 4.4696, 8.9406 Å; angles 90.00, 103.20, 90.00 degrees
Space group C2/m (No. 12)
Inequivalent atoms, fractional coordinates:
Sm: 0.0000 0.0000 0.0000 [2 per cell]
Ho: 0.1672 0.5000 0.3331 [4 per cell]
Er: 0.0000 0.0000 0.5000 [2 per cell]
Er: 0.1656 0.5000 0.8322 [4 per cell]
Bi: 0.0004 0.5000 0.2555 [4 per cell]
Bi: 0.1663 0.0000 0.5833 [4 per cell]
Bi: 0.1689 0.0000 0.0833 [4 per cell]

=====

no.,magnetic moment (μB/f.u.),E_tot (eV for the cell shown)
1,0.00,-28.7
2,0.00,-42.4
3,1.02,-89.1
4,0.00,-15.1
5,0.00,-80.3
6,0.00,-187.9
7,0.00,-66.2
8,0.00,-121.8